{
  "formula": "KReS3",
  "functional": "PBE",
  "state": "optimized geometry",
  "e_form_raw_mev_per_atom": -562.7,
  "spacegroup": "No. 194",
  "polymorph_energy_ev_per_fu": 0.00,
  "lattice_angstrom": [[5.9061, -0.0002, 0.0001], [-0.0006, 6.8841, -0.0002], [0.0008, -3.4425, 5.9618]],
  "species": ["S", "S", "S", "S", "S", "S", "Re", "Re", "K", "K"],
  "frac_coords": [[0.7501, 0.1570, 0.8430], [0.2500, 0.3140, 0.1570], [0.7500, 0.6860, 0.8430], [0.2499, 0.8430, 0.1570], [0.2500, 0.8430, 0.6861], [0.7500, 0.1570, 0.3139], [0.5000, 0.0000, 0.0000], [0.0000, 0.0000, 0.0000], [0.2501, 0.3333, 0.6667], [0.7499, 0.6667, 0.3334]]
}